AcHg4Au | PBE-GGA | relaxed

```
AcHg4Au
1.0
2.700 -10.092 0.000
2.700 10.092 0.000
0.000 0.000 5.873
Ac Hg Au
2 8 2
Direct
0.140 0.860 0.500
0.860 0.140 0.000
0.043 0.957 0.989
0.252 0.748 0.070
0.311 0.689 0.600
0.452 0.548 0.768
0.548 0.452 0.268
0.689 0.311 0.100
0.748 0.252 0.570
0.957 0.043 0.489
0.405 0.595 0.245
0.595 0.405 0.745
```

Properties
**ΔH_f (0 K)**: -0.295 eV/atom
**Distance to the lowest polymorph of the same formula**: 0.25 eV/f.u.
**Crystal system**: orthorhombic
**Theoretical density**: 12.73 g cm⁻³
**Symmetry**: Cmc2_1, No. 36


AcHg4Au | PBE-GGA | relaxed

```
AcHg4Au
1.0
2.598 -8.838 0.000
2.598 8.838 0.000
0.000 0.000 7.080
Ac Hg Au
2 8 2
Direct
0.158 0.842 0.500
0.842 0.158 0.000
0.035 0.965 0.919
0.208 0.792 0.969
0.360 0.640 0.677
0.470 0.530 0.123
0.530 0.470 0.623
0.640 0.360 0.177
0.792 0.208 0.469
0.965 0.035 0.419
0.317 0.683 0.271
0.683 0.317 0.771
```

Properties
**ΔH_f (0 K)**: -0.336 eV/atom
**Distance to the lowest polymorph of the same formula**: 0.00 eV/f.u.
**Crystal system**: orthorhombic
**Theoretical density**: 12.53 g cm⁻³
**Symmetry**: Cmc2_1, No. 36


Ac5HgAu4 | PBE-GGA | relaxed

```
Ac5HgAu4
1.0
3.941 0.000 0.000
0.000 3.941 0.000
0.000 0.000 19.694
Ac Hg Au
5 1 4
Direct
0.000 0.000 0.000
0.000 0.000 0.198
0.000 0.000 0.393
0.000 0.000 0.607
0.000 0.000 0.802
0.500 0.500 0.500
0.500 0.500 0.098
0.500 0.500 0.298
0.500 0.500 0.702
0.500 0.500 0.902
```

Properties
**ΔH_f (0 K)**: -0.718 eV/atom
**Crystal system**: tetragonal
**Theoretical density**: 11.53 g cm⁻³
**Symmetry**: P4/mmm, No. 123


Ac2Hg5Au | PBE-GGA | relaxed

```
Ac2Hg5Au
1.0
2.063 -10.896 0.000
2.063 10.896 0.000
0.000 0.000 10.248
Ac Hg Au
4 10 2
Direct
0.000 0.000 0.000
0.000 0.000 0.500
0.178 0.822 0.750
0.822 0.178 0.250
0.213 0.787 0.104
0.213 0.787 0.396
0.372 0.628 0.006
0.372 0.628 0.494
0.425 0.575 0.750
0.575 0.425 0.250
0.628 0.372 0.506
0.628 0.372 0.994
0.787 0.213 0.604
0.787 0.213 0.896
0.443 0.557 0.250
0.557 0.443 0.750
```

Properties
**ΔH_f (0 K)**: -0.412 eV/atom
**Distance to the lowest polymorph of the same formula**: 0.00 eV/f.u.
**Crystal system**: orthorhombic
**Theoretical density**: 11.92 g cm⁻³
**Symmetry**: Cmcm, No. 63


Ac2Hg4Au5 | PBE-GGA | relaxed

```
Ac2Hg4Au5
1.0
-3.149 4.532 4.942
3.149 -4.532 4.942
3.149 4.532 -4.942
Ac Hg Au
2 4 5
Direct
0.245 0.000 0.245
0.755 0.000 0.755
0.079 0.346 0.734
0.388 0.654 0.734
0.612 0.346 0.266
0.921 0.654 0.266
0.223 0.000 0.776
0.223 0.447 0.224
0.500 0.500 0.000
0.777 0.000 0.224
0.777 0.553 0.776
```

Properties
**ΔH_f (0 K)**: -0.313 eV/atom
**Crystal system**: orthorhombic
**Theoretical density**: 13.19 g cm⁻³
**Symmetry**: Immm, No. 71


Ac3HgAu | PBE-GGA | relaxed

```
Ac3HgAu
1.0
7.642 -4.102 0.000
7.642 4.102 0.000
-4.879 0.000 12.426
Ac Hg Au
12 4 4
Direct
0.049 0.234 0.780
0.189 0.701 0.963
0.234 0.049 0.280
0.255 0.409 0.634
0.299 0.811 0.537
0.409 0.255 0.134
0.591 0.745 0.866
0.701 0.189 0.463
0.745 0.591 0.366
0.766 0.951 0.720
0.811 0.299 0.037
0.951 0.766 0.220
0.223 0.460 0.380
0.460 0.223 0.880
0.540 0.777 0.120
0.777 0.540 0.620
0.000 0.500 0.000
0.188 0.812 0.750
0.500 0.000 0.500
0.812 0.188 0.250
```

Properties
**ΔH_f (0 K)**: -0.385 eV/atom
**Distance to the lowest polymorph of the same formula**: 0.49 eV/f.u.
**Crystal system**: monoclinic
**Theoretical density**: 9.20 g cm⁻³
**Symmetry**: C2/c, No. 15


| no. | magnetic moment (μB per formula unit) |
| --- | --- |
| 1 | 0.00 |
| 2 | 0.00 |
| 3 | 0.00 |
| 4 | 0.00 |
| 5 | 0.00 |
| 6 | 0.00 |